La2DyY3As6: relaxed, GGA-PBE.

Values from the calculation:
space-group type	No. 12

Structure (extended XYZ):
```
12
Lattice="4.2124 0.0000 0.0000 0.0000 8.4123 0.3037 -2.1062 -2.4205 8.8444" Properties=species:S:1:pos:R:3 pbc="T T T"
As 0.0000 6.1733 6.1916
As 2.1062 4.1747 3.0769
La 2.1062 4.0075 6.1251
Y 0.0000 6.2103 3.2063
As 0.0000 1.8171 6.0712
As 2.1062 -0.3242 8.8596
Dy 2.1062 0.0000 0.0000
La 0.0000 1.9843 3.0229
Y 2.1062 -0.2185 5.9418
Y 2.1062 4.2062 0.1518
As 0.0000 6.3160 0.2885
As 2.1062 -0.1815 2.9564
```

LiDyAs: relaxed, GGA-PBE.

Values from the calculation:
energy above the most stable polymorph in this dataset	192	meV/atom
space-group type	No. 160

Structure (extended XYZ):
```
6
Lattice="4.0612 -0.3330 -0.8124 2.2122 3.3856 -0.9552 -2.1711 -0.6693 10.6749" Properties=species:S:1:pos:R:3 pbc="T T T"
As 0.5456 -0.3695 5.3053
Dy 4.4362 1.4673 2.7492
Li 1.0892 -0.0010 7.8810
Dy 1.7794 2.3501 -0.2629
As 1.3957 2.4923 8.3896
Li 2.8645 0.8033 5.7923
```

LiDyAs: relaxed, GGA-PBE.

Values from the calculation:
energy above the most stable polymorph in this dataset	0	meV/atom
space-group type	No. 187

Structure (extended XYZ):
```
3
Lattice="-1.9034 -1.0173 3.3175 3.2023 -2.3768 1.1085 -0.1225 3.9747 1.1485" Properties=species:S:1:pos:R:3 pbc="T T T"
Li 1.7771 -0.4290 1.6741
As -0.3176 -0.1697 0.5535
Dy -0.2832 1.1793 3.3469
```

LiDyAs: relaxed, GGA-PBE.

Values from the calculation:
energy above the most stable polymorph in this dataset	93	meV/atom
space-group type	No. 216

Structure (extended XYZ):
```
3
Lattice="-2.4928 2.3677 3.0535 0.9928 -0.2695 4.4817 1.8444 3.6117 2.1675" Properties=species:S:1:pos:R:3 pbc="T T T"
Dy 0.1722 2.8549 4.8513
Li 0.0000 0.0000 0.0000
As 0.0861 1.4275 2.4257
```

LiDy2As: relaxed, GGA-PBE.

Values from the calculation:
energy above the most stable polymorph in this dataset	0	meV/atom
space-group type	No. 123

Structure (extended XYZ):
```
4
Lattice="3.8956 0.0000 0.0000 0.0000 4.7855 0.0000 0.0000 0.0000 4.7855" Properties=species:S:1:pos:R:3 pbc="T T T"
Li 1.9478 0.0000 0.0000
Dy 0.0000 2.3927 0.0000
Dy 0.0000 0.0000 2.3927
As 1.9478 2.3927 2.3927
```

LiDyAs2: relaxed, GGA-PBE.

Values from the calculation:
space-group type	No. 129

Structure (extended XYZ):
```
8
Lattice="-1.0388 -0.0968 3.7474 3.6862 -0.7336 1.0029 1.8328 10.2669 0.7734" Properties=species:S:1:pos:R:3 pbc="T T T"
As 0.9164 5.1335 0.3867
As 2.2400 4.7183 2.7619
Dy 0.8113 7.4060 2.4352
As 3.3721 8.1982 1.1466
Li 1.3237 -0.4152 2.3752
As -0.2156 1.6535 2.0019
Li 0.0000 0.0000 0.0000
Dy 2.3452 2.4457 0.7133
```

LiDy2As: relaxed, GGA-PBE.

Values from the calculation:
energy above the most stable polymorph in this dataset	159	meV/atom
space-group type	No. 166

Structure (extended XYZ):
```
4
Lattice="-1.6634 -2.8994 1.8576 -0.4436 -3.3790 -1.7349 8.2826 -5.0407 3.4852" Properties=species:S:1:pos:R:3 pbc="T T T"
Li 0.0000 0.0000 0.0000
As 3.0878 -5.6595 1.8040
Dy 5.3190 -4.0684 2.3492
Dy 0.8566 -7.2507 1.2588
```

LiDy2Ni4As3: relaxed, GGA-PBE.

Values from the calculation:
space-group type	No. 115

Structure (extended XYZ):
```
10
Lattice="4.0132 0.0000 0.0000 0.0000 4.0132 0.0000 0.0000 0.0000 9.7112" Properties=species:S:1:pos:R:3 pbc="T T T"
Ni 0.0000 0.0000 0.0000
Li 2.0066 2.0066 4.8556
As 0.0000 0.0000 4.8556
Dy 0.0000 2.0066 7.3402
Ni 2.0066 0.0000 6.1006
As 0.0000 2.0066 1.3208
Ni 0.0000 2.0066 3.6106
Ni 2.0066 2.0066 0.0000
As 2.0066 0.0000 8.3904
Dy 2.0066 0.0000 2.3710
```

LiDy2NpAs4: relaxed, GGA-PBE.

Values from the calculation:
space-group type	No. 10

Structure (extended XYZ):
```
8
Lattice="4.1060 0.0000 0.0000 0.0000 6.9331 0.1350 0.0000 -2.4133 6.6721" Properties=species:S:1:pos:R:3 pbc="T T T"
Dy 0.0000 2.2599 3.4036
As 0.0000 -0.1383 5.0856
Li 2.0530 3.4665 0.0675
Np 0.0000 0.0000 0.0000
Dy 2.0530 -1.2066 3.3360
As 2.0530 3.3899 5.1560
As 2.0530 1.1299 1.6511
As 0.0000 4.6581 1.7216
```

Li2DyAsO: relaxed, GGA-PBE.

Values from the calculation:
uncorrected formation energy	-1.75	eV/atom
space-group type	No. 123

Structure (extended XYZ):
```
5
Lattice="-0.6185 3.2256 -2.4735 0.2571 -2.4659 -3.2800 -4.5235 -0.7227 0.1886" Properties=species:S:1:pos:R:3 pbc="T T T"
Li 0.1282 -1.2330 -1.6400
Dy -2.0047 -2.8273 -3.1857
O -4.5232 -0.7227 0.1886
As -2.4420 0.0185 -2.7826
Li -0.0525 -0.8531 -4.5167
```

LiDyPa2As4: relaxed, GGA-PBE.

Values from the calculation:
space-group type	No. 10

Structure (extended XYZ):
```
8
Lattice="4.1215 0.0000 0.0000 0.0000 6.9416 -0.0706 0.0000 2.5042 6.6866" Properties=species:S:1:pos:R:3 pbc="T T T"
Pa 2.0607 1.2521 3.3433
Dy 0.0000 4.7229 3.3080
As 4.1215 2.3247 1.6525
As 0.0001 7.1212 4.9635
As 2.0608 5.8306 1.5907
Li 2.0607 3.4708 -0.0353
Pa 0.0000 2.5042 6.6866
As 2.0608 3.6152 5.0253
```

Li2DyAs2Pd2: relaxed, GGA-PBE.

Values from the calculation:
space-group type	No. 166

Structure (extended XYZ):
```
7
Lattice="-1.3901 4.0366 0.2330 -1.5513 1.5175 3.6839 6.0239 4.1478 3.3093" Properties=species:S:1:pos:R:3 pbc="T T T"
As 2.4273 7.3142 5.4527
Pd -0.0269 4.3368 3.1645
Dy 0.0000 0.0000 0.0000
Pd 3.1094 5.3650 4.0617
Li 0.0278 6.5275 4.7662
Li 3.0547 3.1743 2.4599
As 0.6551 2.3876 1.7735
```

no.,V (Å³/f.u.),DFT total energy (eV per cell)
1,316.5,-80.292
2,73.3,-26.927
3,58.7,-14.038
4,68.7,-13.758
5,89.2,-18.059
6,79.1,-39.598
7,127.5,-17.422
8,156.4,-55.918
9,191.3,-50.212
10,77.5,-26.770
11,192.0,-52.298
12,120.9,-34.280